First-principles (SCAN) data for W3Se4 at its PBEsol-relaxed geometry, as listed in Alexandria.

The structure belongs to space group P6/mmm (No. 191); the cell edges are 5.4625, 5.4625 and 4.8229 Å and the angles 90.00°, 90.00° and 120.00°. The inequivalent atoms are W at (0.0000, 0.5000, 0.0000), Se at (0.0000, 0.0000, 0.2454) and Se at (0.3333, 0.6667, 0.5000).

For the density of states at the Fermi level, the calculation gives 4.10 states/eV per cell. The magnetization is 0.00 μB/cell. The total energy is -40.336 eV/atom.